This record from Alexandria describes crystalline Ho4BiIr at its relaxed geometry. The functional is PBE.

Excess energy over the best structure of this formula in the dataset: 178 kJ/mol of formula units
Energy relative to the elements: -365 meV per atom
Size of the total moment: 0.0 μB/f.u.
Calculated volume: 923.5 Å³/cell

a = 19.5180 Å, b = 5.4484 Å, c = 9.8034 Å
α = 90.00°, β = 117.64°, γ = 90.00°
Space group C2/m (No. 12)
Unique sites:
Ho 0.0305 0.0000 0.1991 x4
Ho 0.1145 0.5000 0.0516 x4
Ho 0.1925 0.0000 0.8841 x4
Ho 0.2461 0.0000 0.3279 x4
Bi 0.1640 0.0000 0.5468 x4
Ir 0.1156 0.0000 0.0502 x4